Here is an optimized crystal structure of Nb6Os5Ru from Alexandria. Energies are from GGA-PBE.

Unit cell a=4.629 b=6.135 c=7.679 alpha=66.46 beta=78.40 gamma=90.00
Element x y z (fractional)
Ru (0.000, 0.000, 0.000)
Nb (0.808, 0.587, 0.325)
Nb (0.500, 0.250, 0.000)
Nb (0.808, 0.087, 0.325)
Nb (0.192, 0.413, 0.675)
Nb (0.192, 0.913, 0.675)
Nb (0.500, 0.750, 0.000)
Os (0.705, 0.673, 0.654)
Os (0.297, 0.827, 0.345)
Os (0.000, 0.500, 0.000)
Os (0.295, 0.327, 0.346)
Os (0.703, 0.173, 0.655)

DFT total energy	-127.73	eV for the cell shown

Here is an optimized crystal structure of BaScOs3 from Alexandria. Energies are from GGA-PBE.

Unit cell a=4.898 b=4.898 c=4.898 alpha=90.00 beta=90.00 gamma=90.00
Site moments in Bohr magnetons follow the coordinates.
Element x y z (fractional)
Ba (0.500, 0.500, 0.500)  0.01
Sc (0.000, 0.000, 0.000)  -0.04
Os (0.000, 0.000, 0.500)  0.60
Os (0.500, 0.000, 0.000)  0.44
Os (0.000, 0.500, 0.000)  0.67

ΔE to the lowest computed polymorph	0.000	eV per formula unit

Here is an optimized crystal structure of TlInAg2 from Alexandria. Energies are from GGA-PBE.

Unit cell a=8.021 b=8.021 c=6.439 alpha=51.47 beta=51.47 gamma=90.00
Element x y z (fractional)
Ag (0.614, 0.125, 0.250)
Ag (0.375, 0.386, 0.750)
Ag (0.136, 0.625, 0.250)
Ag (0.875, 0.864, 0.750)
Tl (0.000, 0.000, 0.000)
Tl (0.750, 0.250, 0.500)
In (0.250, 0.750, 0.500)
In (0.500, 0.500, 0.000)

DFT total energy	-20.03	eV for the cell shown

Here is an optimized crystal structure of CoCu5 from Alexandria. Energies are from GGA-PBE.

Unit cell a=4.702 b=4.702 c=4.123 alpha=90.00 beta=90.00 gamma=120.00
Site moments in Bohr magnetons follow the coordinates.
Element x y z (fractional)
Cu (0.500, 0.500, 0.500)  0.00
Cu (0.667, 0.333, 0.000)  0.02
Cu (0.000, 0.500, 0.500)  0.00
Cu (0.333, 0.667, 0.000)  0.02
Cu (0.500, 0.000, 0.500)  0.00
Co (0.000, 0.000, 0.000)  1.92

DFT total energy	-25.30	eV for the cell shown

Here is an optimized crystal structure of SrCeGeAu from Alexandria. Energies are from GGA-PBE.

Unit cell a=5.323 b=5.323 c=5.323 alpha=60.00 beta=60.00 gamma=60.00
Site moments in Bohr magnetons follow the coordinates.
Element x y z (fractional)
Sr (0.500, 0.500, 0.500)  0.01
Ge (0.750, 0.750, 0.750)  -0.02
Au (0.250, 0.250, 0.250)  0.00
Ce (0.000, 0.000, 0.000)  0.92

DFT total energy	-17.92	eV for the cell shown

Here is an optimized crystal structure of Rb2Br2Cl from Alexandria. Energies are from GGA-PBE.

Unit cell a=9.157 b=9.157 c=4.529 alpha=90.00 beta=90.00 gamma=90.00
Site moments in Bohr magnetons follow the coordinates.
Element x y z (fractional)
Br (0.148, 0.352, 0.000)  0.19
Br (0.352, 0.852, 0.000)  0.19
Br (0.648, 0.148, 0.000)  0.19
Br (0.852, 0.648, 0.000)  0.19
Cl (0.500, 0.500, 0.000)  0.39
Cl (0.000, 0.000, 0.000)  0.39
Rb (0.160, 0.660, 0.500)  0.00
Rb (0.660, 0.840, 0.500)  0.00
Rb (0.340, 0.160, 0.500)  0.00
Rb (0.840, 0.340, 0.500)  0.00

formation energy without anion corrections	-1.2496	eV/atom
ΔE to the lowest computed polymorph	0.156	eV per formula unit

Number 1: Fermi-level density of states 11.1 states/eV/cell, magnetization 0.000 μB per formula unit. Number 2: Fermi-level density of states 7.5 states/eV/cell, magnetization 1.898 μB per formula unit. Number 3: Fermi-level density of states 2.9 states/eV/cell, magnetization 0.000 μB per formula unit. Number 4: Fermi-level density of states 6.0 states/eV/cell, magnetization 1.896 μB per formula unit. Number 5: Fermi-level density of states 8.2 states/eV/cell, magnetization 1.035 μB per formula unit. Number 6: Fermi-level density of states 1.3 states/eV/cell, magnetization 1.000 μB per formula unit.